Entry from the Alexandria database: an optimized crystal structure of CoS2NO (PBE with a Hubbard U).

Results
DOS at the Fermi energy in states/eV per atom: 0.81
Calculated total energy in eV per cell: -20.074
Space-group type: P4/mmm (123)

Cell: 4.531 4.531 3.297 Å, 90.00 90.00 90.00°
Positions (direct):
Co 0.000 0.000 0.000
S 0.000 0.500 0.000
S 0.500 0.000 0.000
N 0.000 0.000 0.500
O 0.500 0.500 0.500